DFT (PBE) results for a relaxed structure of NpCu3O7.

Cell: 9.2109 6.2500 6.3199 Å, 90.00 132.06 90.00°
Last column: nearest neighbours and their distance in Å.
Space group Cm (No. 8)
Unique sites:
Np: 0.0000 0.0000 0.0000  4 O 1.87-2.10
Cu: 0.4435 0.0000 0.9602  4 O 1.94-1.97
Cu: 0.4780 0.2414 0.4903  4 O 1.87-1.97
O: 0.1142 0.0000 0.6486  2 Cu 1.87
O: 0.2262 0.5000 0.7170  1 Np 1.87
O: 0.2934 0.0000 0.3004  2 Cu 1.97, 1 Np 2.01
O: 0.4849 0.2412 0.1961  2 Cu 1.90-1.97, 1 Np 2.10
O: 0.4876 0.2240 0.7973  2 Cu 1.89-1.94, 1 Np 2.11

Calculated values
Raw formation energy, kJ/mol of atoms: -121.9
Total energy, eV per atom: -6.712
Crystal system: monoclinic
V, Å³ per cell: 270.1